w | ! PBE LiGa2Pt, relaxed; values from VASP
&SYSTEM
  ibrav = 0, nat = 8, ntyp = 3
/
ATOMIC_SPECIES
Ga 69.72 Ga.upf
Pt 195.08 Pt.upf
Li 6.94 Li.upf
CELL_PARAMETERS angstrom
-2.7376 -4.0632 5.9578
5.8694 -4.9580 -0.6843
2.9461 -3.0972 4.2349
ATOMIC_POSITIONS crystal
Ga 0.6861 0.1250 0.2500
Ga 0.0639 0.6250 0.2500
Ga 0.3750 0.3139 0.7500
Ga 0.8750 0.9361 0.7500
Pt 0.0000 0.0000 0.0000
Pt 0.7500 0.2500 0.5000
Li 0.5000 0.5000 0.0000
Li 0.2500 0.7500 0.5000
! SG: I-42d


x | ! PBE LiGa2Pt, relaxed; values from VASP
&SYSTEM
  ibrav = 0, nat = 8, ntyp = 3
/
ATOMIC_SPECIES
Li 6.94 Li.upf
Ga 69.72 Ga.upf
Pt 195.08 Pt.upf
CELL_PARAMETERS angstrom
3.8800 0.0000 0.0000
0.0000 3.8800 0.0000
0.0000 0.0000 7.8062
ATOMIC_POSITIONS crystal
Li 0.0000 0.0000 0.0000
Li 0.5000 0.5000 0.5000
Ga 0.0000 0.0000 0.5000
Ga 0.5000 0.5000 0.0000
Ga 0.0000 0.5000 0.2500
Ga 0.5000 0.0000 0.7500
Pt 0.0000 0.5000 0.7500
Pt 0.5000 0.0000 0.2500
! SG: I-4m2


y | ! PBE LiGa2Pt, relaxed; values from VASP
&SYSTEM
  ibrav = 0, nat = 4, ntyp = 3
/
ATOMIC_SPECIES
Li 6.94 Li.upf
Ga 69.72 Ga.upf
Pt 195.08 Pt.upf
CELL_PARAMETERS angstrom
3.0407 -0.0018 0.0293
1.5151 4.2063 -0.0040
1.5183 -0.4800 4.9957
ATOMIC_POSITIONS crystal
Li 0.3913 0.1364 0.7228
Ga 0.8367 0.5401 0.4250
Ga 0.5257 0.6240 0.9659
Pt 0.6858 0.0805 0.1860
! SG: P1


z | ! PBE LiGa2Pt, relaxed; values from VASP
&SYSTEM
  ibrav = 0, nat = 4, ntyp = 3
/
ATOMIC_SPECIES
Ga 69.72 Ga.upf
Pt 195.08 Pt.upf
Li 6.94 Li.upf
CELL_PARAMETERS angstrom
0.0000 3.0829 3.0829
3.0829 0.0000 3.0829
3.0829 3.0829 0.0000
ATOMIC_POSITIONS crystal
Ga 0.2500 0.2500 0.2500
Ga 0.7500 0.7500 0.7500
Pt 0.5000 0.5000 0.5000
Li 0.0000 0.0000 0.0000
! SG: Fm-3m


Which structure loses on stability? w does.


w | ! PBE LiGa3Pt3, relaxed; values from VASP
&SYSTEM
  ibrav = 0, nat = 14, ntyp = 3
/
ATOMIC_SPECIES
Ga 69.72 Ga.upf
Pt 195.08 Pt.upf
Li 6.94 Li.upf
CELL_PARAMETERS angstrom
-6.7359 -1.5014 0.1421
1.4836 -6.4798 1.8596
-0.2711 1.8452 6.6460
ATOMIC_POSITIONS crystal
Ga 0.2500 0.0000 0.5000
Ga 0.0000 0.5000 0.2500
Ga 0.5000 0.7500 0.0000
Ga 0.7500 0.0000 0.5000
Ga 0.0000 0.5000 0.7500
Ga 0.5000 0.2500 0.0000
Pt 0.0000 0.2500 0.5000
Pt 0.0000 0.7500 0.5000
Pt 0.5000 0.0000 0.7500
Pt 0.7500 0.5000 0.0000
Pt 0.5000 0.0000 0.2500
Pt 0.2500 0.5000 0.0000
Li 0.5000 0.5000 0.5000
Li 0.0000 0.0000 0.0000
! SG: Pm-3n


x | ! PBE LiGa3Pt3, relaxed; values from VASP
&SYSTEM
  ibrav = 0, nat = 14, ntyp = 3
/
ATOMIC_SPECIES
Li 6.94 Li.upf
Ga 69.72 Ga.upf
Pt 195.08 Pt.upf
CELL_PARAMETERS angstrom
-4.7308 2.7018 -4.1851
-6.6764 -1.0546 1.2277
-3.9524 5.1652 2.1639
ATOMIC_POSITIONS crystal
Li 0.3397 0.3397 0.9808
Li 0.6603 0.6603 0.0192
Ga 0.5257 0.7197 0.6601
Ga 0.7197 0.0945 0.6601
Ga 0.0945 0.5257 0.6601
Ga 0.9055 0.4743 0.3399
Ga 0.2803 0.9055 0.3399
Ga 0.4743 0.2803 0.3399
Pt 0.1922 0.6835 0.1989
Pt 0.9254 0.1922 0.1989
Pt 0.6835 0.9254 0.1989
Pt 0.3165 0.0746 0.8011
Pt 0.0746 0.8078 0.8011
Pt 0.8078 0.3165 0.8011
! SG: R-3


Which structure loses on stability? w does.


w | ! PBE LiGa3Pt2, relaxed; values from VASP
&SYSTEM
  ibrav = 0, nat = 18, ntyp = 3
/
ATOMIC_SPECIES
Li 6.94 Li.upf
Ga 69.72 Ga.upf
Pt 195.08 Pt.upf
CELL_PARAMETERS angstrom
-3.4250 2.3079 -0.5851
-1.4343 -7.2508 -5.3361
-2.2746 -1.2165 8.5159
ATOMIC_POSITIONS crystal
Li 0.1359 0.2718 0.6822
Li 0.8641 0.7282 0.3178
Li 0.0000 0.0000 0.0000
Ga 0.0370 0.0741 0.3455
Ga 0.9630 0.9259 0.6545
Ga 0.2126 0.4252 0.3610
Ga 0.7874 0.5748 0.6390
Ga 0.6032 0.2064 0.1400
Ga 0.3968 0.7936 0.8600
Ga 0.5000 0.0000 0.5000
Ga 0.3034 0.6067 0.0825
Ga 0.6966 0.3933 0.9175
Pt 0.1543 0.3085 0.0355
Pt 0.8457 0.6915 0.9645
Pt 0.4611 0.9223 0.1833
Pt 0.5389 0.0777 0.8167
Pt 0.3630 0.7261 0.5552
Pt 0.6370 0.2739 0.4448
! SG: C2/m


x | ! PBE LiGa3Pt2, relaxed; values from VASP
&SYSTEM
  ibrav = 0, nat = 12, ntyp = 3
/
ATOMIC_SPECIES
Li 6.94 Li.upf
Ga 69.72 Ga.upf
Pt 195.08 Pt.upf
CELL_PARAMETERS angstrom
5.4064 0.0000 0.0000
0.0000 5.5616 0.0000
-2.7032 -2.7808 7.0301
ATOMIC_POSITIONS crystal
Li 0.0000 0.5000 0.0000
Li 0.0000 0.0000 0.0000
Ga 0.5000 0.2500 0.0000
Ga 0.5000 0.7500 0.0000
Ga 0.7845 0.0345 0.5690
Ga 0.2155 0.4655 0.4310
Ga 0.2155 0.9655 0.4310
Ga 0.7845 0.5345 0.5690
Pt 0.5259 0.3608 0.7216
Pt 0.8043 0.1392 0.2784
Pt 0.1957 0.8608 0.7216
Pt 0.4741 0.6392 0.2784
! SG: Ibam


Which structure loses on stability? x does.


w | ! PBE LiGa3Pt, relaxed; values from VASP
&SYSTEM
  ibrav = 0, nat = 10, ntyp = 3
/
ATOMIC_SPECIES
Li 6.94 Li.upf
Ga 69.72 Ga.upf
Pt 195.08 Pt.upf
CELL_PARAMETERS angstrom
4.1147 0.5480 1.2527
1.5569 4.9372 0.6669
-0.4587 0.5545 8.5788
ATOMIC_POSITIONS crystal
Li 0.0589 0.7290 0.9832
Li 0.3517 0.4608 0.6313
Ga 0.0335 0.3994 0.3484
Ga 0.8229 0.3136 0.8446
Ga 0.7094 0.9446 0.4480
Ga 0.7021 0.2433 0.1668
Ga 0.3780 0.7888 0.2657
Ga 0.5882 0.8754 0.7701
Pt 0.3208 0.1569 0.0191
Pt 0.0900 0.0323 0.5956
! SG: P-1


x | ! PBE LiGa3Pt, relaxed; values from VASP
&SYSTEM
  ibrav = 0, nat = 5, ntyp = 3
/
ATOMIC_SPECIES
Ga 69.72 Ga.upf
Pt 195.08 Pt.upf
Li 6.94 Li.upf
CELL_PARAMETERS angstrom
-0.9049 4.1703 2.3378
1.7563 -1.9230 4.1101
4.4466 1.6082 -1.1476
ATOMIC_POSITIONS crystal
Ga 0.0000 0.5000 0.0000
Ga 0.0000 0.0000 0.5000
Ga 0.5000 0.0000 0.0000
Pt 0.0000 0.0000 0.0000
Li 0.5000 0.5000 0.5000
! SG: Pm-3m


Which structure loses on stability? x does.


w | ! PBE Li2Ga2Pt3, relaxed; values from VASP
&SYSTEM
  ibrav = 0, nat = 7, ntyp = 3
/
ATOMIC_SPECIES
Li 6.94 Li.upf
Ga 69.72 Ga.upf
Pt 195.08 Pt.upf
CELL_PARAMETERS angstrom
3.4509 0.0000 0.0000
-1.7254 5.2749 -0.0398
0.0000 -2.4673 6.3058
ATOMIC_POSITIONS crystal
Li 0.9028 0.8055 0.2400
Li 0.0972 0.1945 0.7600
Ga 0.8285 0.6571 0.7744
Ga 0.1715 0.3429 0.2256
Pt 0.5000 0.0000 0.0000
Pt 0.6133 0.2266 0.4589
Pt 0.3867 0.7734 0.5411
! SG: C2/m


x | ! PBE Li2Ga2Pt3, relaxed; values from VASP
&SYSTEM
  ibrav = 0, nat = 7, ntyp = 3
/
ATOMIC_SPECIES
Li 6.94 Li.upf
Ga 69.72 Ga.upf
Pt 195.08 Pt.upf
CELL_PARAMETERS angstrom
-2.2389 3.4517 -1.3407
-1.9526 -3.8807 0.2294
0.4212 0.2321 7.1645
ATOMIC_POSITIONS crystal
Li 0.2722 0.1353 0.4012
Li 0.7278 0.8647 0.5988
Ga 0.8099 0.4024 0.2072
Ga 0.1901 0.5976 0.7928
Pt 0.0000 0.0000 0.0000
Pt 0.5273 0.2648 0.7979
Pt 0.4727 0.7352 0.2021
! SG: P-1


Which structure loses on stability? w does.


w | ! PBE Li2Ga4Pt, relaxed; values from VASP
&SYSTEM
  ibrav = 0, nat = 14, ntyp = 3
/
ATOMIC_SPECIES
Li 6.94 Li.upf
Ga 69.72 Ga.upf
Pt 195.08 Pt.upf
CELL_PARAMETERS angstrom
6.6887 0.0376 -0.0651
-2.1931 6.3191 0.0651
-2.3026 -3.1396 5.4392
ATOMIC_POSITIONS crystal
Li 0.8750 0.1447 0.5197
Li 0.4803 0.3553 0.6250
Li 0.3750 0.8553 0.7303
Li 0.2697 0.6447 0.1250
Ga 0.1142 0.9154 0.3768
Ga 0.6232 0.7374 0.5386
Ga 0.9488 0.5846 0.7114
Ga 0.2886 0.2374 0.8732
Ga 0.6358 0.7626 0.0512
Ga 0.8012 0.2626 0.8858
Ga 0.4614 0.0846 0.1988
Ga 0.1268 0.4154 0.3642
Pt 0.0000 0.0000 0.0000
Pt 0.7500 0.5000 0.2500
! SG: I-42d


x | ! PBE Li2Ga4Pt, relaxed; values from VASP
&SYSTEM
  ibrav = 0, nat = 7, ntyp = 3
/
ATOMIC_SPECIES
Ga 69.72 Ga.upf
Pt 195.08 Pt.upf
Li 6.94 Li.upf
CELL_PARAMETERS angstrom
4.7593 0.0000 0.0000
0.0000 4.7593 0.0000
2.3796 2.3796 6.7581
ATOMIC_POSITIONS crystal
Ga 0.1938 0.1938 0.6124
Ga 0.8062 0.8062 0.3876
Ga 0.0000 0.5000 0.0000
Ga 0.5000 0.0000 0.0000
Pt 0.0000 0.0000 0.0000
Li 0.3806 0.3806 0.2387
Li 0.6194 0.6194 0.7613
! SG: I4/mmm


Which structure loses on stability? x does.


w | ! PBE SrLiGa2Pt, relaxed; values from VASP
&SYSTEM
  ibrav = 0, nat = 5, ntyp = 4
/
ATOMIC_SPECIES
Sr 87.62 Sr.upf
Ga 69.72 Ga.upf
Pt 195.08 Pt.upf
Li 6.94 Li.upf
CELL_PARAMETERS angstrom
-4.6405 0.3266 1.3938
-1.3862 -2.2059 -4.0983
0.3617 -4.3648 2.2270
ATOMIC_POSITIONS crystal
Sr 0.5000 0.5000 0.5000
Ga 0.0000 0.5000 0.0000
Ga 0.5000 0.0000 0.0000
Pt 0.0000 0.0000 0.0000
Li 0.0000 0.0000 0.5000
! SG: P4/mmm


x | ! PBE SrLiGa2Pt, relaxed; values from VASP
&SYSTEM
  ibrav = 0, nat = 5, ntyp = 4
/
ATOMIC_SPECIES
Sr 87.62 Sr.upf
Li 6.94 Li.upf
Ga 69.72 Ga.upf
Pt 195.08 Pt.upf
CELL_PARAMETERS angstrom
-4.0417 0.8829 -1.8082
0.9925 -2.6546 -3.5146
-0.4467 -3.1050 5.1190
ATOMIC_POSITIONS crystal
Sr 0.0000 0.0000 0.0000
Li 0.7500 0.2500 0.5000
Ga 0.6312 0.6312 0.2624
Ga 0.3688 0.3688 0.7376
Pt 0.2500 0.7500 0.5000
! SG: I-4m2


Which structure loses on stability? w does.


w | ! PBE Li2PuGa6, relaxed; values from VASP
&SYSTEM
  ibrav = 0, nat = 9, ntyp = 3
/
ATOMIC_SPECIES
Li 6.94 Li.upf
Pu 244.00 Pu.upf
Ga 69.72 Ga.upf
CELL_PARAMETERS angstrom
2.9147 0.0000 0.0000
0.0000 6.9615 -4.0193
0.0000 0.0000 8.0385
ATOMIC_POSITIONS crystal
Li 0.0000 0.3333 0.6667
Li 0.0000 0.6667 0.3333
Pu 0.0000 0.0000 0.0000
Ga 0.5000 0.3425 0.3425
Ga 0.5000 0.6575 0.6575
Ga 0.5000 0.0000 0.6575
Ga 0.5000 0.6575 0.0000
Ga 0.5000 0.3425 0.0000
Ga 0.5000 0.0000 0.3425
! SG: P6/mmm


x | ! PBE Li2PuGa6, relaxed; values from VASP
&SYSTEM
  ibrav = 0, nat = 9, ntyp = 3
/
ATOMIC_SPECIES
Li 6.94 Li.upf
Pu 244.00 Pu.upf
Ga 69.72 Ga.upf
CELL_PARAMETERS angstrom
4.0589 0.0000 0.0000
2.0294 6.8774 1.0225
2.0294 2.3599 6.5402
ATOMIC_POSITIONS crystal
Li 0.8827 0.6173 0.6173
Li 0.1173 0.3827 0.3827
Pu 0.0000 0.0000 0.0000
Ga 0.6926 0.9942 0.6206
Ga 0.3074 0.0058 0.3794
Ga 0.3074 0.3794 0.0058
Ga 0.5000 0.6719 0.3281
Ga 0.5000 0.3281 0.6719
Ga 0.6926 0.6206 0.9942
! SG: Immm


Which structure loses on stability? x does.


w | ! PBE RbLiGa, relaxed; values from VASP
&SYSTEM
  ibrav = 0, nat = 12, ntyp = 3
/
ATOMIC_SPECIES
Rb 85.47 Rb.upf
Li 6.94 Li.upf
Ga 69.72 Ga.upf
CELL_PARAMETERS angstrom
6.1462 0.0000 0.0043
0.0000 4.5381 0.0000
-0.4552 0.0000 13.3545
ATOMIC_POSITIONS crystal
Rb 0.7254 0.0000 0.1132
Rb 0.7254 0.5000 0.6132
Rb 0.2295 0.0000 0.5515
Rb 0.2295 0.5000 0.0515
Li 0.2643 0.0000 0.3092
Li 0.2643 0.5000 0.8092
Li 0.9591 0.0000 0.8421
Li 0.9591 0.5000 0.3421
Ga 0.4957 0.0000 0.8441
Ga 0.4957 0.5000 0.3441
Ga 0.7121 0.0000 0.3720
Ga 0.7121 0.5000 0.8720
! SG: Cm


x | ! PBE RbLiGa, relaxed; values from VASP
&SYSTEM
  ibrav = 0, nat = 12, ntyp = 3
/
ATOMIC_SPECIES
Rb 85.47 Rb.upf
Li 6.94 Li.upf
Ga 69.72 Ga.upf
CELL_PARAMETERS angstrom
7.1985 0.0000 0.0177
0.0000 4.4399 0.0000
-4.9072 0.0000 13.7370
ATOMIC_POSITIONS crystal
Rb 0.7988 0.0000 0.1117
Rb 0.2012 0.0000 0.8883
Rb 0.7988 0.5000 0.6117
Rb 0.2012 0.5000 0.3883
Li 0.2621 0.0000 0.6238
Li 0.7379 0.0000 0.3762
Li 0.2621 0.5000 0.1238
Li 0.7379 0.5000 0.8762
Ga 0.5924 0.0000 0.7795
Ga 0.4076 0.0000 0.2205
Ga 0.5924 0.5000 0.2795
Ga 0.4076 0.5000 0.7205
! SG: C2/m


Which structure loses on stability? x does.


w | ! PBE RbLiGa, relaxed; values from VASP
&SYSTEM
  ibrav = 0, nat = 6, ntyp = 3
/
ATOMIC_SPECIES
Rb 85.47 Rb.upf
Li 6.94 Li.upf
Ga 69.72 Ga.upf
CELL_PARAMETERS angstrom
-1.4838 -3.3147 -2.6449
4.3181 0.1245 1.2331
-3.1829 -4.7572 11.2684
ATOMIC_POSITIONS crystal
Rb 0.3736 0.6183 0.6594
Rb 0.9660 0.3981 0.0179
Li 0.5602 0.2040 0.4293
Li 0.1526 0.4974 0.3118
Ga 0.8104 0.8260 0.2980
Ga 0.4278 0.1328 0.2196
! SG: P1


x | ! PBE RbLiGa, relaxed; values from VASP
&SYSTEM
  ibrav = 0, nat = 12, ntyp = 3
/
ATOMIC_SPECIES
Rb 85.47 Rb.upf
Li 6.94 Li.upf
Ga 69.72 Ga.upf
CELL_PARAMETERS angstrom
7.2661 0.0000 -0.0002
0.0000 8.0588 0.0000
-3.8313 0.0000 6.4206
ATOMIC_POSITIONS crystal
Rb 0.1774 0.2506 0.4472
Rb 0.1774 0.7494 0.4472
Rb 0.1774 0.7506 0.9472
Rb 0.1774 0.2494 0.9472
Li 0.6774 0.8235 0.4457
Li 0.6774 0.1765 0.4457
Li 0.6774 0.3235 0.9457
Li 0.6774 0.6765 0.9457
Ga 0.6781 0.0000 0.1118
Ga 0.6781 0.5000 0.6118
Ga 0.6764 0.0000 0.7795
Ga 0.6764 0.5000 0.2795
! SG: Cm


y | ! PBE RbLiGa, relaxed; values from VASP
&SYSTEM
  ibrav = 0, nat = 12, ntyp = 3
/
ATOMIC_SPECIES
Ga 69.72 Ga.upf
Rb 85.47 Rb.upf
Li 6.94 Li.upf
CELL_PARAMETERS angstrom
-9.8640 -1.4355 -3.4012
-0.4811 -4.2279 3.1797
-1.7159 5.5733 7.1511
ATOMIC_POSITIONS crystal
Ga 0.5000 0.2498 0.5000
Ga 0.5000 0.7502 0.5000
Ga 0.5000 0.7498 0.0000
Ga 0.5000 0.2502 0.0000
Rb 0.2115 0.0000 0.6999
Rb 0.7885 0.0000 0.3001
Rb 0.2115 0.5000 0.1999
Rb 0.7885 0.5000 0.8001
Li 0.4544 0.0000 0.2418
Li 0.5456 0.0000 0.7582
Li 0.4544 0.5000 0.7418
Li 0.5456 0.5000 0.2582
! SG: C2/m


Which structure loses on stability? x does.